Arrangement A

The following is a PBE-GGA calculation of CrSn2I after structural relaxation, from the Alexandria database.

```
CrSn2I
1.0
-0.622 3.553 3.784
-3.240 4.040 -0.715
-4.503 0.240 2.646
I Sn Cr
1 2 1
Cartesian
-4.182 3.917 2.857
-6.273 5.875 4.286
-2.091 1.958 1.429
0.000 0.000 0.000
```

Summary:
**Space group**: Fm-3m, No. 225
**Total magnetization**: 0.633 μB/f.u.


Arrangement B

The following is a PBE-GGA calculation of CrSn2I after structural relaxation, from the Alexandria database.

```
CrSn2I
1.0
-1.495 -4.493 3.462
1.423 -3.763 -4.269
7.831 -4.483 2.533
I Sn Cr
2 4 2
Cartesian
3.150 -6.552 2.796
0.000 0.000 0.000
6.021 -6.920 1.073
1.385 -3.848 1.839
5.636 -10.124 1.718
2.477 -4.586 -1.177
4.609 -6.187 -1.069
-0.036 -4.128 -0.403
```

Summary:
**Space group**: I-42d, No. 122
**Total magnetization**: 3.206 μB/f.u.


Which structure is the most stable? The one labeled arrangement B.


Arrangement A

The following is a PBE-GGA calculation of Cr2SnI after structural relaxation, from the Alexandria database.

```
Cr2SnI
1.0
0.000 3.529 3.529
3.529 0.000 3.529
3.529 3.529 0.000
Cr Sn I
2 1 1
Cartesian
1.764 1.764 1.764
5.293 5.293 5.293
0.000 0.000 0.000
3.529 3.529 3.529
```

Summary:
**Space group**: Fm-3m, No. 225
**Total magnetization**: 7.469 μB/f.u.


Arrangement B

The following is a PBE-GGA calculation of Cr2SnI after structural relaxation, from the Alexandria database.

```
Cr2SnI
1.0
-3.293 -6.561 -2.099
5.631 -1.223 -5.009
2.929 -5.537 -1.173
I Cr Sn
2 4 2
Cartesian
0.000 0.000 0.000
0.403 -7.995 -3.413
4.206 -10.956 -7.067
3.818 -3.012 -3.700
3.110 -7.080 -3.578
-0.600 -5.595 -2.218
1.169 -3.892 -3.554
4.864 -5.326 -4.868
```

Summary:
**Space group**: I-42d, No. 122
**Total magnetization**: 8.554 μB/f.u.


Which structure is the most stable? The one labeled arrangement B.


Arrangement A

The following is a PBE-GGA calculation of SrCr3I after structural relaxation, from the Alexandria database.

```
SrCr3I
1.0
-5.709 1.825 -0.226
-1.838 -5.684 0.539
-0.050 0.582 5.969
Cr Sr I
3 1 1
Cartesian
-0.025 0.291 2.985
-0.919 -2.842 0.270
-2.854 0.912 -0.113
0.000 0.000 0.000
-3.799 -1.638 3.141
```

Summary:
**Space group**: Pm-3m, No. 221
**Total magnetization**: 15.000 μB/f.u.


Arrangement B

The following is a PBE-GGA calculation of SrCr3I after structural relaxation, from the Alexandria database.

```
SrCr3I
1.0
-0.886 4.989 -1.843
-3.240 -1.988 -3.824
-4.218 0.479 3.324
I Cr Sr
1 3 1
Cartesian
0.000 0.000 0.000
-2.109 0.240 1.662
-0.443 2.494 -0.922
-1.620 -0.994 -1.912
-4.172 1.740 -1.171
```

Summary:
**Space group**: Pm-3m, No. 221
**Total magnetization**: 13.049 μB/f.u.


Which structure is the most stable? The one labeled arrangement B.


Arrangement A

The following is a PBE-GGA calculation of TaCr2I after structural relaxation, from the Alexandria database.

```
TaCr2I
1.0
-3.001 -3.275 -0.207
-4.258 0.821 0.984
-3.067 -0.005 -3.220
Ta Cr I
1 2 1
Cartesian
-5.163 -1.230 -1.221
-2.581 -0.615 -0.611
-7.744 -1.845 -1.832
0.000 0.000 0.000
```

Summary:
**Space group**: Fm-3m, No. 225
**Total magnetization**: 0.000 μB/f.u.


Arrangement B

The following is a PBE-GGA calculation of TaCr2I after structural relaxation, from the Alexandria database.

```
TaCr2I
1.0
-0.325 3.872 1.576
-3.691 -1.008 1.716
2.017 -1.140 8.792
Cr I Ta
4 2 2
Cartesian
-0.161 2.018 3.401
-1.842 -0.440 3.464
-2.008 1.649 9.479
0.016 0.221 7.825
-1.840 -0.358 6.077
-2.008 1.432 1.646
0.000 0.000 0.000
-0.157 2.082 6.007
```

Summary:
**Space group**: I-42d, No. 122
**Total magnetization**: 3.879 μB/f.u.


Which structure is the most stable? The one labeled arrangement A.


Arrangement A

The following is a PBE-GGA calculation of TaCr3I after structural relaxation, from the Alexandria database.

```
TaCr3I
1.0
-2.080 3.622 -2.594
-3.487 0.458 3.435
2.772 3.293 2.375
Ta Cr I
1 3 1
Cartesian
0.000 0.000 0.000
-1.744 0.229 1.718
-1.040 1.811 -1.297
1.386 1.647 1.188
-1.397 3.687 1.608
```

Summary:
**Space group**: Pm-3m, No. 221
**Total magnetization**: 10.191 μB/f.u.


Arrangement B

The following is a PBE-GGA calculation of TaCr3I after structural relaxation, from the Alexandria database.

```
TaCr3I
1.0
-1.044 -2.496 -3.643
-3.322 -2.023 2.338
-2.910 3.205 -1.361
Cr Ta I
3 1 1
Cartesian
-1.661 -1.012 1.169
-1.455 1.602 -0.681
-0.522 -1.248 -1.822
-3.638 -0.657 -1.333
0.000 0.000 0.000
```

Summary:
**Space group**: Pm-3m, No. 221
**Total magnetization**: 0.000 μB/f.u.


Which structure is the most stable? The one labeled arrangement A.


Arrangement A

The following is a PBE-GGA calculation of TaCrTe2I after structural relaxation, from the Alexandria database.

```
TaCrTe2I
1.0
-4.284 -1.469 -2.971
2.089 -4.967 -0.556
-2.676 -1.649 4.673
Ta Te I Cr
1 2 1 1
Cartesian
0.000 0.000 0.000
1.044 -2.483 -0.278
-2.142 -0.734 -1.486
-1.338 -0.824 2.336
-2.436 -4.042 0.573
```

Summary:
**Space group**: P4/mmm, No. 123
**Total magnetization**: 5.450 μB/f.u.


Arrangement B

The following is a PBE-GGA calculation of TaCrTe2I after structural relaxation, from the Alexandria database.

```
TaCrTe2I
1.0
-1.674 -3.779 -3.195
-1.714 -2.721 4.117
-4.653 2.373 -0.368
Ta I Cr Te
1 1 1 2
Cartesian
-4.020 -2.064 0.277
-2.326 1.186 -0.184
0.000 0.000 0.000
-0.857 -1.361 2.058
-0.837 -1.890 -1.597
```

Summary:
**Space group**: P4/mmm, No. 123
**Total magnetization**: 5.923 μB/f.u.


Which structure is the most stable? The one labeled arrangement A.


Arrangement A

The following is a PBE-GGA calculation of TaCrTeI2 after structural relaxation, from the Alexandria database.

```
TaCrTeI2
1.0
-2.438 4.158 -2.037
-0.955 -2.704 -4.377
-4.607 -1.696 2.052
I Cr Ta Te
2 1 1 1
Cartesian
-0.477 -1.352 -2.188
-1.219 2.079 -1.018
0.000 0.000 0.000
-4.000 -0.121 -2.180
-2.304 -0.848 1.026
```

Summary:
**Space group**: P4/mmm, No. 123
**Total magnetization**: 3.708 μB/f.u.


Arrangement B

The following is a PBE-GGA calculation of TaCrTeI2 after structural relaxation, from the Alexandria database.

```
TaCrTeI2
1.0
-4.449 1.637 -2.975
2.196 -2.353 -4.579
-2.507 -4.653 1.188
I Ta Te Cr
2 1 1 1
Cartesian
-2.224 0.819 -1.488
1.098 -1.176 -2.289
0.000 0.000 0.000
-1.253 -2.326 0.594
-2.380 -2.684 -3.183
```

Summary:
**Space group**: P4/mmm, No. 123
**Total magnetization**: 6.050 μB/f.u.


Which structure is the most stable? The one labeled arrangement B.


Arrangement A

The following is a PBE-GGA calculation of Cr3TcI after structural relaxation, from the Alexandria database.

```
Cr3TcI
1.0
4.539 0.000 0.000
0.000 4.539 0.000
0.000 0.000 4.539
Tc Cr I
1 3 1
Cartesian
2.270 2.270 2.270
0.000 0.000 2.270
2.270 0.000 0.000
0.000 2.270 0.000
0.000 0.000 0.000
```

Summary:
**Space group**: Pm-3m, No. 221
**Total magnetization**: 1.018 μB/f.u.


Arrangement B

The following is a PBE-GGA calculation of Cr3TcI after structural relaxation, from the Alexandria database.

```
Cr3TcI
1.0
-4.358 -1.563 1.347
1.948 -2.084 3.887
-0.678 4.057 2.515
Tc Cr I
1 3 1
Cartesian
0.000 0.000 0.000
-2.179 -0.781 0.673
0.974 -1.042 1.943
-0.339 2.029 1.257
-1.544 0.206 3.874
```

Summary:
**Space group**: Pm-3m, No. 221
**Total magnetization**: 10.090 μB/f.u.


Which structure is the most stable? The one labeled arrangement B.